# PrAlGaIr

An optimized crystal structure of PrAlGaIr (PBE, Alexandria via LeMat-Bulk).

Calculated values
Total moment in μB/f.u.: 0.00
Final energy in eV/atom: -5.7815
DFT formation energy in eV/atom: -0.679
Theoretical density in Mg/m³: 8.36
SG: No. 160

abc: 4.362 4.362 5.760
angles: 67.75 67.75 60.00
Sites, in units of the cell vectors:
Ga1 0.016 0.016 0.952
Al1 0.279 0.279 0.164
Pr1 0.813 0.813 0.562
Ir1 0.618 0.618 0.145

# Pr2Al4GaIr3

An optimized crystal structure of Pr2Al4GaIr3 (PBE, Alexandria via LeMat-Bulk).

Calculated values
Total moment in μB/f.u.: 0.00
Final energy in eV/atom: -6.1536
DFT formation energy in eV/atom: -0.740
Theoretical density in Mg/m³: 8.97
SG: No. 115

abc: 4.211 4.211 10.815
angles: 90.00 90.00 90.00
Sites, in units of the cell vectors:
Ga1 0.500 0.500 0.500
Al1 0.000 0.500 0.365
Al2 0.500 0.000 0.635
Al3 0.500 0.500 0.000
Al4 0.000 0.000 0.000
Pr1 0.500 0.000 0.248
Pr2 0.000 0.500 0.752
Ir1 0.000 0.500 0.131
Ir2 0.500 0.000 0.869
Ir3 0.000 0.000 0.500

# Pr2AlGa3Ir4

An optimized crystal structure of Pr2AlGa3Ir4 (PBE, Alexandria via LeMat-Bulk).

Calculated values
Total moment in μB/f.u.: 0.00
Final energy in eV/atom: -6.5266
DFT formation energy in eV/atom: -0.744
Theoretical density in Mg/m³: 11.24
SG: No. 115

abc: 4.286 4.286 10.355
angles: 90.00 90.00 90.00
Sites, in units of the cell vectors:
Ga1 0.000 0.000 0.500
Ga2 0.000 0.500 0.126
Ga3 0.500 0.000 0.874
Ir1 0.500 0.000 0.631
Ir2 0.000 0.000 0.000
Ir3 0.500 0.500 0.000
Ir4 0.000 0.500 0.369
Pr1 0.500 0.000 0.239
Pr2 0.000 0.500 0.761
Al1 0.500 0.500 0.500

# Pu2AlGa6Ir

An optimized crystal structure of Pu2AlGa6Ir (PBE, Alexandria via LeMat-Bulk).

Calculated values
Total moment in μB/f.u.: 11.21
Final energy in eV/atom: -6.0413
DFT formation energy in eV/atom: -0.098
Theoretical density in Mg/m³: 9.04
SG: No. 166

abc: 5.891 5.891 14.179
angles: 78.01 78.01 60.00
Site moments in Bohr magnetons follow the coordinates.
Sites, in units of the cell vectors:
Ga1 0.447 0.447 0.134  -0.01
Ga2 0.936 0.936 0.702  0.02
Ga3 0.936 0.427 0.702  0.02
Ga4 0.028 0.553 0.866  -0.01
Ga5 0.573 0.064 0.298  0.02
Ga6 0.064 0.573 0.298  0.02
Ga7 0.064 0.064 0.298  0.02
Ga8 0.447 0.972 0.134  -0.01
Ga9 0.553 0.028 0.866  -0.01
Ga10 0.553 0.553 0.866  -0.01
Ga11 0.427 0.936 0.702  0.02
Ga12 0.972 0.447 0.134  -0.01
Pu1 0.166 0.166 0.502  5.37
Pu2 0.834 0.834 0.498  5.37
Pu3 0.567 0.567 0.299  5.24
Pu4 0.433 0.433 0.701  5.24
Al1 0.500 0.500 0.500  0.03
Al2 0.000 0.000 0.000  -0.02
Ir1 0.664 0.664 0.007  -0.05
Ir2 0.336 0.336 0.993  -0.05

# AlGa2ReIr

An optimized crystal structure of AlGa2ReIr (PBE, Alexandria via LeMat-Bulk).

Calculated values
Total moment in μB/f.u.: 1.48
Final energy in eV/atom: -5.3836
DFT formation energy in eV/atom: 0.837
Theoretical density in Mg/m³: 8.30
SG: No. 123

abc: 4.690 4.954 4.690
angles: 90.00 90.00 90.00
Site moments in Bohr magnetons follow the coordinates.
Sites, in units of the cell vectors:
Ir1 0.000 0.000 0.000  -0.05
Ga1 0.500 0.000 0.000  0.01
Ga2 0.000 0.000 0.500  -0.01
Al1 0.500 0.500 0.500  0.00
Re1 0.000 0.500 0.000  1.33

# AlGaIrRh

An optimized crystal structure of AlGaIrRh (PBE, Alexandria via LeMat-Bulk).

Calculated values
Total moment in μB/f.u.: 0.00
Final energy in eV/atom: -6.5223
DFT formation energy in eV/atom: -0.777
Theoretical density in Mg/m³: 11.70
SG: No. 99

abc: 2.975 2.975 6.285
angles: 90.00 90.00 90.00
Sites, in units of the cell vectors:
Rh1 0.000 0.000 0.360
Al1 0.500 0.500 0.605
Ir1 0.000 0.000 0.853
Ga1 0.500 0.500 0.110

# AlGa2IrRh

An optimized crystal structure of AlGa2IrRh (PBE, Alexandria via LeMat-Bulk).

Calculated values
Total moment in μB/f.u.: 0.26
Final energy in eV/atom: -4.2905
DFT formation energy in eV/atom: 0.911
Theoretical density in Mg/m³: 7.95
SG: No. 123

abc: 4.662 4.433 4.662
angles: 90.00 90.00 90.00
Site moments in Bohr magnetons follow the coordinates.
Sites, in units of the cell vectors:
Ga1 0.500 0.000 0.000  0.00
Ga2 0.000 0.000 0.500  0.01
Ir1 0.000 0.500 0.000  0.05
Rh1 0.500 0.500 0.500  0.19
Al1 0.000 0.000 0.000  0.00

# Sc2Al2GaIr5

An optimized crystal structure of Sc2Al2GaIr5 (PBE, Alexandria via LeMat-Bulk).

Calculated values
Total moment in μB/f.u.: 0.00
Final energy in eV/atom: -7.4831
DFT formation energy in eV/atom: -0.735
Theoretical density in Mg/m³: 12.31
SG: No. 127

abc: 3.445 9.593 9.593
angles: 90.00 90.00 90.00
Sites, in units of the cell vectors:
Ir1 0.500 0.000 0.500
Ir2 0.500 0.066 0.798
Ir3 0.500 0.566 0.702
Ir4 0.500 0.702 0.434
Ir5 0.500 0.934 0.202
Ir6 0.500 0.500 0.000
Ir7 0.500 0.298 0.566
Ir8 0.500 0.798 0.934
Ir9 0.500 0.202 0.066
Ir10 0.500 0.434 0.298
Al1 0.000 0.127 0.627
Al2 0.000 0.373 0.127
Al3 0.000 0.627 0.873
Al4 0.000 0.873 0.373
Sc1 0.000 0.173 0.327
Sc2 0.000 0.673 0.173
Sc3 0.000 0.827 0.673
Sc4 0.000 0.327 0.827
Ga1 0.000 0.500 0.500
Ga2 0.000 0.000 0.000

# AlGaIrSe2

An optimized crystal structure of AlGaIrSe2 (PBE, Alexandria via LeMat-Bulk).

Calculated values
Total moment in μB/f.u.: 0.01
Final energy in eV/atom: -3.9339
Theoretical density in Mg/m³: 6.47
SG: No. 123
Raw formation energy in kcal/mol of atoms: 13.513

abc: 4.947 4.685 4.947
angles: 90.00 90.00 90.00
Sites, in units of the cell vectors:
Se1 0.000 0.000 0.500
Se2 0.500 0.000 0.000
Ir1 0.000 0.500 0.000
Ga1 0.500 0.500 0.500
Al1 0.000 0.000 0.000

# Sm2Al2GaIr5

An optimized crystal structure of Sm2Al2GaIr5 (PBE, Alexandria via LeMat-Bulk).

Calculated values
Total moment in μB/f.u.: 0.00
Final energy in eV/atom: -7.0813
DFT formation energy in eV/atom: -0.656
Theoretical density in Mg/m³: 13.32
SG: No. 127

abc: 3.491 9.946 9.946
angles: 90.00 90.00 90.00
Sites, in units of the cell vectors:
Al1 0.000 0.124 0.624
Al2 0.000 0.624 0.876
Al3 0.000 0.876 0.376
Al4 0.000 0.376 0.124
Ir1 0.500 0.062 0.796
Ir2 0.500 0.500 0.000
Ir3 0.500 0.938 0.204
Ir4 0.500 0.438 0.296
Ir5 0.500 0.296 0.562
Ir6 0.500 0.000 0.500
Ir7 0.500 0.796 0.938
Ir8 0.500 0.704 0.438
Ir9 0.500 0.562 0.704
Ir10 0.500 0.204 0.062
Ga1 0.000 0.000 0.000
Ga2 0.000 0.500 0.500
Sm1 0.000 0.824 0.676
Sm2 0.000 0.176 0.324
Sm3 0.000 0.676 0.176
Sm4 0.000 0.324 0.824

# Sm2AlGa4Ir3

An optimized crystal structure of Sm2AlGa4Ir3 (PBE, Alexandria via LeMat-Bulk).

Calculated values
Total moment in μB/f.u.: 0.00
Final energy in eV/atom: -5.8611
DFT formation energy in eV/atom: -0.674
Theoretical density in Mg/m³: 10.51
SG: No. 115

abc: 4.059 4.059 11.353
angles: 90.00 90.00 90.00
Sites, in units of the cell vectors:
Ir1 0.000 0.500 0.137
Ir2 0.000 0.000 0.500
Ir3 0.500 0.000 0.863
Ga1 0.500 0.500 0.000
Ga2 0.000 0.500 0.360
Ga3 0.500 0.000 0.640
Ga4 0.000 0.000 0.000
Al1 0.500 0.500 0.500
Sm1 0.000 0.500 0.756
Sm2 0.500 0.000 0.244

# Tb2Al2GaIr5

An optimized crystal structure of Tb2Al2GaIr5 (PBE, Alexandria via LeMat-Bulk).

Calculated values
Total moment in μB/f.u.: 0.00
Final energy in eV/atom: -7.1248
DFT formation energy in eV/atom: -0.717
Theoretical density in Mg/m³: 13.77
SG: No. 127

abc: 3.476 9.866 9.866
angles: 90.00 90.00 90.00
Sites, in units of the cell vectors:
Ir1 0.500 0.564 0.704
Ir2 0.500 0.500 0.000
Ir3 0.500 0.204 0.064
Ir4 0.500 0.436 0.296
Ir5 0.500 0.704 0.436
Ir6 0.500 0.296 0.564
Ir7 0.500 0.796 0.936
Ir8 0.500 0.000 0.500
Ir9 0.500 0.064 0.796
Ir10 0.500 0.936 0.204
Al1 0.000 0.625 0.875
Al2 0.000 0.375 0.125
Al3 0.000 0.125 0.625
Al4 0.000 0.875 0.375
Tb1 0.000 0.175 0.325
Tb2 0.000 0.325 0.825
Tb3 0.000 0.675 0.175
Tb4 0.000 0.825 0.675
Ga1 0.000 0.000 0.000
Ga2 0.000 0.500 0.500

# Th2AlGa3Ir4

An optimized crystal structure of Th2AlGa3Ir4 (PBE, Alexandria via LeMat-Bulk).

Calculated values
Total moment in μB/f.u.: 0.00
Final energy in eV/atom: -7.0993
DFT formation energy in eV/atom: -0.789
Theoretical density in Mg/m³: 12.95
SG: No. 115

abc: 4.257 4.257 10.393
angles: 90.00 90.00 90.00
Sites, in units of the cell vectors:
Al1 0.500 0.500 0.500
Ga1 0.000 0.500 0.127
Ga2 0.000 0.000 0.500
Ga3 0.500 0.000 0.873
Ir1 0.000 0.500 0.365
Ir2 0.500 0.500 0.000
Ir3 0.000 0.000 0.000
Ir4 0.500 0.000 0.635
Th1 0.000 0.500 0.758
Th2 0.500 0.000 0.242

# Th2Al2GaIr5

An optimized crystal structure of Th2Al2GaIr5 (PBE, Alexandria via LeMat-Bulk).

Calculated values
Total moment in μB/f.u.: 0.00
Final energy in eV/atom: -7.6549
DFT formation energy in eV/atom: -0.689
Theoretical density in Mg/m³: 14.34
SG: No. 127

abc: 3.685 9.865 9.865
angles: 90.00 90.00 90.00
Sites, in units of the cell vectors:
Ir1 0.500 0.000 0.500
Ir2 0.500 0.790 0.934
Ir3 0.500 0.290 0.566
Ir4 0.500 0.434 0.290
Ir5 0.500 0.566 0.710
Ir6 0.500 0.710 0.434
Ir7 0.500 0.210 0.066
Ir8 0.500 0.500 0.000
Ir9 0.500 0.934 0.210
Ir10 0.500 0.066 0.790
Ga1 0.000 0.500 0.500
Ga2 0.000 0.000 0.000
Th1 0.000 0.679 0.179
Th2 0.000 0.179 0.321
Th3 0.000 0.821 0.679
Th4 0.000 0.321 0.821
Al1 0.000 0.619 0.881
Al2 0.000 0.119 0.619
Al3 0.000 0.381 0.119
Al4 0.000 0.881 0.381

# Ti3Al3GaIr2

An optimized crystal structure of Ti3Al3GaIr2 (PBE, Alexandria via LeMat-Bulk).

Calculated values
Total moment in μB/f.u.: 0.00
Final energy in eV/atom: -6.7220
DFT formation energy in eV/atom: -0.537
Theoretical density in Mg/m³: 8.10
SG: No. 189

abc: 2.901 7.441 7.441
angles: 120.00 90.00 90.00
Sites, in units of the cell vectors:
Ir1 0.500 0.333 0.667
Ir2 0.500 0.667 0.333
Al1 0.000 0.371 0.000
Al2 0.000 0.629 0.629
Al3 0.000 0.000 0.371
Ti1 0.500 0.298 0.298
Ti2 0.500 0.000 0.702
Ti3 0.500 0.702 0.000
Ga1 0.000 0.000 0.000

# Tm2Al2GaIr5

An optimized crystal structure of Tm2Al2GaIr5 (PBE, Alexandria via LeMat-Bulk).

Calculated values
Total moment in μB/f.u.: 0.00
Final energy in eV/atom: -7.1371
DFT formation energy in eV/atom: -0.761
Theoretical density in Mg/m³: 14.26
SG: No. 127

abc: 3.461 9.784 9.784
angles: 90.00 90.00 90.00
Sites, in units of the cell vectors:
Al1 0.000 0.375 0.125
Al2 0.000 0.625 0.875
Al3 0.000 0.125 0.625
Al4 0.000 0.875 0.375
Ir1 0.500 0.935 0.203
Ir2 0.500 0.435 0.297
Ir3 0.500 0.297 0.565
Ir4 0.500 0.703 0.435
Ir5 0.500 0.797 0.935
Ir6 0.500 0.500 0.000
Ir7 0.500 0.000 0.500
Ir8 0.500 0.565 0.703
Ir9 0.500 0.065 0.797
Ir10 0.500 0.203 0.065
Tm1 0.000 0.674 0.174
Tm2 0.000 0.174 0.326
Tm3 0.000 0.326 0.826
Tm4 0.000 0.826 0.674
Ga1 0.000 0.500 0.500
Ga2 0.000 0.000 0.000

# AlV2GaIr

An optimized crystal structure of AlV2GaIr (PBE, Alexandria via LeMat-Bulk).

Calculated values
Total moment in μB/f.u.: 2.82
Final energy in eV/atom: -5.8117
DFT formation energy in eV/atom: 0.962
Theoretical density in Mg/m³: 7.23
SG: No. 123

abc: 4.496 4.443 4.496
angles: 90.00 90.00 90.00
Site moments in Bohr magnetons follow the coordinates.
Sites, in units of the cell vectors:
V1 0.000 0.000 0.500  1.30
V2 0.500 0.000 0.000  1.14
Ir1 0.000 0.500 0.000  0.09
Ga1 0.500 0.500 0.500  -0.04
Al1 0.000 0.000 0.000  0.01

# YAlGaIr2

An optimized crystal structure of YAlGaIr2 (PBE, Alexandria via LeMat-Bulk).

Calculated values
Total moment in μB/f.u.: 0.00
Final energy in eV/atom: -6.8349
DFT formation energy in eV/atom: -0.644
Theoretical density in Mg/m³: 9.89
SG: No. 63

abc: 4.505 7.193 6.219
angles: 90.00 90.00 108.25
Sites, in units of the cell vectors:
Ir1 0.824 0.648 0.023
Ir2 0.176 0.352 0.523
Ir3 0.824 0.648 0.477
Ir4 0.176 0.352 0.977
Al1 0.317 0.633 0.250
Al2 0.683 0.367 0.750
Y1 0.628 0.257 0.250
Y2 0.372 0.743 0.750
Ga1 0.000 0.000 0.000
Ga2 0.000 0.000 0.500

# Y2AlGa2Ir5

An optimized crystal structure of Y2AlGa2Ir5 (PBE, Alexandria via LeMat-Bulk).

Calculated values
Total moment in μB/f.u.: 0.00
Final energy in eV/atom: -7.3808
DFT formation energy in eV/atom: -0.678
Theoretical density in Mg/m³: 12.79
SG: No. 127

abc: 3.520 9.813 9.813
angles: 90.00 90.00 90.00
Sites, in units of the cell vectors:
Ir1 0.500 0.299 0.563
Ir2 0.500 0.500 0.000
Ir3 0.500 0.701 0.437
Ir4 0.500 0.000 0.500
Ir5 0.500 0.063 0.799
Ir6 0.500 0.437 0.299
Ir7 0.500 0.201 0.063
Ir8 0.500 0.937 0.201
Ir9 0.500 0.563 0.701
Ir10 0.500 0.799 0.937
Ga1 0.000 0.627 0.873
Ga2 0.000 0.127 0.627
Ga3 0.000 0.873 0.373
Ga4 0.000 0.373 0.127
Y1 0.000 0.326 0.826
Y2 0.000 0.174 0.326
Y3 0.000 0.826 0.674
Y4 0.000 0.674 0.174
Al1 0.000 0.500 0.500
Al2 0.000 0.000 0.000

# Zr2AlGa2Ir5

An optimized crystal structure of Zr2AlGa2Ir5 (PBE, Alexandria via LeMat-Bulk).

Calculated values
Total moment in μB/f.u.: 0.00
Final energy in eV/atom: -7.7622
DFT formation energy in eV/atom: -0.642
Theoretical density in Mg/m³: 13.46
SG: No. 127

abc: 3.605 9.469 9.469
angles: 90.00 90.00 90.00
Sites, in units of the cell vectors:
Ir1 0.500 0.798 0.936
Ir2 0.500 0.500 0.000
Ir3 0.500 0.936 0.202
Ir4 0.500 0.064 0.798
Ir5 0.500 0.000 0.500
Ir6 0.500 0.436 0.298
Ir7 0.500 0.564 0.702
Ir8 0.500 0.702 0.436
Ir9 0.500 0.202 0.064
Ir10 0.500 0.298 0.564
Ga1 0.000 0.873 0.373
Ga2 0.000 0.373 0.127
Ga3 0.000 0.627 0.873
Ga4 0.000 0.127 0.627
Zr1 0.000 0.827 0.673
Zr2 0.000 0.173 0.327
Zr3 0.000 0.673 0.173
Zr4 0.000 0.327 0.827
Al1 0.000 0.000 0.000
Al2 0.000 0.500 0.500